(1)
DFT (PBE) results for a relaxed MgBSN2 crystal.

It has space group P4/mmm (No. 123), with a = 3.2203 Å, b = 3.2203 Å, c = 7.2967 Å, α = 90.00°, β = 90.00° and γ = 90.00°. The asymmetric unit holds Mg at (0.0000, 0.0000, 0.0000), B at (0.5000, 0.5000, 0.5000), S at (0.5000, 0.5000, 0.0000) and N at (0.0000, 0.5000, 0.5000).

The value obtained for the density of states at the Fermi level is 2.745 states/eV/cell. The calculated volume is 75.7 Å³/f.u. Its total DFT energy (no corrections) is -0.384 Ry per atom.


(2)
DFT (PBE) results for a relaxed MgBSN2 crystal.

It has space group P4/mmm (No. 123), with a = 3.9351 Å, b = 3.9351 Å, c = 5.3264 Å, α = 90.00°, β = 90.00° and γ = 90.00°. The asymmetric unit holds Mg at (0.0000, 0.0000, 0.0000), B at (0.5000, 0.5000, 0.5000), S at (0.0000, 0.0000, 0.5000) and N at (0.0000, 0.5000, 0.0000).

The value obtained for the density of states at the Fermi level is 3.402 states/eV/cell. The calculated volume is 82.5 Å³/f.u. Its total DFT energy (no corrections) is -0.269 Ry per atom.


(3)
DFT (PBE) results for a relaxed MgBSeN2 crystal.

It has space group P4/mmm (No. 123), with a = 3.3099 Å, b = 3.3099 Å, c = 7.3177 Å, α = 90.00°, β = 90.00° and γ = 90.00°. The asymmetric unit holds Mg at (0.0000, 0.0000, 0.0000), B at (0.5000, 0.5000, 0.5000), Se at (0.5000, 0.5000, 0.0000) and N at (0.0000, 0.5000, 0.5000).

The value obtained for the density of states at the Fermi level is 2.574 states/eV/cell. The calculated volume is 80.2 Å³/f.u. Its total DFT energy (no corrections) is -0.357 Ry per atom.


(4)
DFT (PBE) results for a relaxed MgBSeN2 crystal.

It has space group P4/mmm (No. 123), with a = 3.9229 Å, b = 3.9229 Å, c = 5.7478 Å, α = 90.00°, β = 90.00° and γ = 90.00°. The asymmetric unit holds Mg at (0.0000, 0.0000, 0.0000), B at (0.5000, 0.5000, 0.5000), Se at (0.0000, 0.0000, 0.5000) and N at (0.0000, 0.5000, 0.0000).

The value obtained for the density of states at the Fermi level is 3.888 states/eV/cell. The calculated volume is 88.5 Å³/f.u. Its total DFT energy (no corrections) is -0.268 Ry per atom.


(5)
DFT (PBE) results for a relaxed MgSiB2N crystal.

It has space group P4/mmm (No. 123), with a = 4.0827 Å, b = 4.0827 Å, c = 3.5492 Å, α = 90.00°, β = 90.00° and γ = 90.00°. The asymmetric unit holds Mg at (0.0000, 0.0000, 0.0000), Si at (0.5000, 0.5000, 0.0000), B at (0.0000, 0.5000, 0.5000) and N at (0.5000, 0.5000, 0.5000).

The value obtained for the density of states at the Fermi level is 2.143 states/eV/cell. The calculated volume is 59.2 Å³/f.u. Its total DFT energy (no corrections) is -0.313 Ry per atom.


(6)
DFT (PBE) results for a relaxed MgBTe2N crystal.

It has space group P4/mmm (No. 123), with a = 6.4001 Å, b = 6.4001 Å, c = 2.7510 Å, α = 90.00°, β = 90.00° and γ = 90.00°. The asymmetric unit holds Mg at (0.0000, 0.0000, 0.0000), B at (0.5000, 0.5000, 0.5000), Te at (0.0000, 0.5000, 0.5000) and N at (0.5000, 0.5000, 0.0000).

The value obtained for the density of states at the Fermi level is 2.986 states/eV/cell. The calculated volume is 112.7 Å³/f.u. Its total DFT energy (no corrections) is -0.333 Ry per atom.


(7)
DFT (PBE) results for a relaxed MgBTeN2 crystal.

It has space group P4/mmm (No. 123), with a = 3.5887 Å, b = 3.5887 Å, c = 5.4429 Å, α = 90.00°, β = 90.00° and γ = 90.00°. The asymmetric unit holds Mg at (0.0000, 0.0000, 0.0000), B at (0.5000, 0.5000, 0.5000), Te at (0.5000, 0.5000, 0.0000) and N at (0.0000, 0.5000, 0.5000).

The value obtained for the density of states at the Fermi level is 3.312 states/eV/cell. The calculated volume is 70.1 Å³/f.u. Its total DFT energy (no corrections) is -0.313 Ry per atom.


(8)
DFT (PBE) results for a relaxed MgBTeN2 crystal.

It has space group P4/mmm (No. 123), with a = 3.8935 Å, b = 3.8935 Å, c = 6.3622 Å, α = 90.00°, β = 90.00° and γ = 90.00°. The asymmetric unit holds Mg at (0.0000, 0.0000, 0.0000), B at (0.5000, 0.5000, 0.5000), Te at (0.0000, 0.0000, 0.5000) and N at (0.0000, 0.5000, 0.0000).

The value obtained for the density of states at the Fermi level is 3.503 states/eV/cell. The calculated volume is 96.4 Å³/f.u. Its total DFT energy (no corrections) is -0.270 Ry per atom.


The lowest total DFT energy (no corrections) belongs to which entry? number 1